# GGA-PBE HfFeP2, relaxed
# - E_tot: -7.683 eV/atom
# - Energy relative to the lowest polymorph listed for this composition: 0 meV per atom
# - Spin magnetization: 2.011 μB per formula unit
# - ΔE_f: -1.496 eV per formula unit
data_HfFeP2
_chemical_formula_sum 'Hf4 Fe4 P8'
_cell_length_a 6.158
_cell_length_b 6.158
_cell_length_c 6.158
_cell_angle_alpha 90.00
_cell_angle_beta 90.00
_cell_angle_gamma 90.00
_space_group_name_H-M_alt 'F m -3 m'
_space_group_IT_number 225
_space_group_name_Hall '-F 4 2 3'
loop_
_atom_site_label
_atom_site_type_symbol
_atom_site_fract_x
_atom_site_fract_y
_atom_site_fract_z
Hf1 Hf 0.000 0.000 0.000
Fe1 Fe 0.000 0.000 0.500
P1 P 0.250 0.250 0.250